Entry from the Alexandria database: a relaxed LiPr3Si6Rh2 crystal (PBE).

Lattice parameters (Å, degrees): 5.8280 5.8280 8.2302 90.00 90.00 120.00
Last column: nearest neighbours and their distance in Å.
Fractional coordinates of all 12 atoms:
Li (0.0000, 0.0000, 0.5000)  6 Si 2.66
Pr (0.3333, 0.6667, 0.6151)  9 Si 3.06-3.13
Pr (0.6667, 0.3333, 0.3849)  9 Si 3.06-3.13
Pr (0.0000, 0.0000, 0.0000)  6 Si 2.99
Si (0.6171, 0.8086, 0.2773)  1 Rh 2.39, 2 Si 2.48, 1 Li 2.66
Si (0.1914, 0.3829, 0.2773)  1 Rh 2.39, 2 Si 2.48, 1 Li 2.66
Si (0.1914, 0.8086, 0.2773)  1 Rh 2.39, 2 Si 2.48, 1 Li 2.66
Si (0.8086, 0.6171, 0.7227)  1 Rh 2.39, 2 Si 2.48, 1 Li 2.66
Si (0.3829, 0.1914, 0.7227)  1 Rh 2.39, 2 Si 2.48, 1 Li 2.66
Si (0.8086, 0.1914, 0.7227)  1 Rh 2.39, 2 Si 2.48, 1 Li 2.66
Rh (0.6667, 0.3333, 0.9558)  3 Si 2.39
Rh (0.3333, 0.6667, 0.0442)  3 Si 2.39

Calculated values
The calculation puts the density of states at the Fermi level at 0.428 states/eV/atom. The magnetization comes out at 0.00 μB/cell. The value obtained for the energy relative to the elements, uncorrected is -0.397 eV/atom. Its crystal system is trigonal. The total energy comes out at -5.688 eV per atom.